1.
{
  "formula": "HfN",
  "functional": "PBE-GGA",
  "state": "optimized geometry",
  "total_magnetization_mub_per_fu": 0.0,
  "raw_formation_energy_mev_per_atom": -1486,
  "e_tot_ev_per_atom": -10.6255,
  "sg": "F-43m (216)",
  "cell": [[-0.400, 3.444, 0.166], [-3.006, 1.347, 1.094], [-0.172, 1.581, 3.085]],
  "species": ["N", "Hf"],
  "fractional_positions": [[0.250, 0.250, 0.250], [0.000, 0.000, 0.000]]
}

***

2.
{
  "formula": "SrPm2Al",
  "functional": "PBE-GGA",
  "state": "optimized geometry",
  "total_magnetization_mub_per_fu": 0.0,
  "de_polymorph_kj_per_mol_fu": 68,
  "delta_e_f_kj_per_mol_atoms": 8.6,
  "e_tot_ev_per_atom": -3.6422,
  "sg": "R-3m (166)",
  "cell": [[-3.239, -3.155, 2.567], [1.175, -1.572, 4.814], [-3.540, 3.183, 4.710]],
  "species": ["Sr", "Pm", "Al", "Pm"],
  "fractional_positions": [[0.500, 0.500, 0.500], [0.279, 0.279, 0.162], [0.000, 0.000, 0.000], [0.721, 0.721, 0.838]]
}

***

3.
{
  "formula": "MnBr5",
  "functional": "PBE-GGA",
  "state": "optimized geometry",
  "total_magnetization_mub_per_fu": 4.8,
  "raw_formation_energy_mev_per_atom": -197,
  "e_tot_ev_per_atom": -3.1197,
  "sg": "Cmmm (65)",
  "cell": [[1.857, -6.732, 0.000], [1.857, 6.732, 0.000], [0.000, 0.000, 8.032]],
  "species": ["Mn", "Br", "Br", "Br", "Br", "Br"],
  "fractional_positions": [[0.500, 0.500, 0.000], [0.871, 0.129, 0.000], [0.332, 0.668, 0.500], [0.000, 0.000, 0.500], [0.668, 0.332, 0.500], [0.129, 0.871, 0.000]]
}

***

4.
{
  "formula": "Rb2CuI6O",
  "functional": "PBE-GGA",
  "state": "optimized geometry",
  "total_magnetization_mub_per_fu": 0.0,
  "raw_formation_energy_mev_per_atom": -471,
  "e_tot_ev_per_atom": -2.4999,
  "sg": "I4/mmm (139)",
  "cell": [[-4.054, -4.787, -4.316], [-3.026, -3.088, 6.267], [-8.116, 0.125, 0.768]],
  "species": ["I", "Rb", "Cu", "I", "I", "I", "O", "I", "I", "Rb"],
  "fractional_positions": [[0.728, 0.272, 0.000], [0.250, 0.750, 0.500], [0.000, 0.000, 0.000], [0.728, 0.728, 0.000], [0.791, 0.791, 0.417], [0.272, 0.272, 0.000], [0.500, 0.500, 0.000], [0.272, 0.728, 0.000], [0.209, 0.209, 0.583], [0.750, 0.250, 0.500]]
}

***

5.
{
  "formula": "SrLa3Tl",
  "functional": "PBE-GGA",
  "state": "optimized geometry",
  "total_magnetization_mub_per_fu": 0.0,
  "de_polymorph_kj_per_mol_fu": 0,
  "delta_e_f_kj_per_mol_atoms": 19.3,
  "e_tot_ev_per_atom": -3.5663,
  "sg": "Pm-3m (221)",
  "cell": [[-2.218, 4.528, -3.574], [-5.259, -3.161, -0.740], [-2.370, 2.776, 4.987]],
  "species": ["La", "La", "La", "Sr", "Tl"],
  "fractional_positions": [[0.500, 0.000, 0.000], [0.000, 0.500, 0.000], [0.000, 0.000, 0.500], [0.500, 0.500, 0.500], [0.000, 0.000, 0.000]]
}

***

6.
{
  "formula": "Pr3Nd8Ho4",
  "functional": "PBE-GGA",
  "state": "optimized geometry",
  "total_magnetization_mub_per_fu": 0.0,
  "delta_e_f_kj_per_mol_atoms": 31.4,
  "e_tot_ev_per_atom": -4.3942,
  "sg": "C2/m (12)",
  "cell": [[6.927, -0.137, -0.196], [-3.397, 8.641, 1.614], [-3.397, -1.486, 8.664]],
  "species": ["Nd", "Nd", "Nd", "Nd", "Pr", "Ho", "Ho", "Pr", "Nd", "Nd", "Ho", "Ho", "Nd", "Nd", "Pr"],
  "fractional_positions": [[0.231, 0.704, 0.704], [0.802, 0.755, 0.755], [0.769, 0.296, 0.296], [0.198, 0.245, 0.245], [0.500, 0.500, 0.500], [0.000, 0.000, 0.500], [0.000, 0.500, 0.000], [0.500, 0.000, 0.500], [0.000, 0.295, 0.705], [0.500, 0.246, 0.754], [0.000, 0.000, 0.000], [0.500, 0.000, 0.000], [0.500, 0.754, 0.246], [0.000, 0.705, 0.295], [0.500, 0.500, 0.000]]
}

***

7.
{
  "formula": "ScMnSeBr2",
  "functional": "PBE-GGA",
  "state": "optimized geometry",
  "total_magnetization_mub_per_fu": 5.9,
  "raw_formation_energy_mev_per_atom": -562,
  "de_polymorph_kj_per_mol_fu": 0,
  "e_tot_ev_per_atom": -5.0287,
  "sg": "P4/mmm (123)",
  "cell": [[5.326, 0.000, 0.000], [0.000, 5.326, 0.000], [0.000, 0.000, 5.202]],
  "species": ["Br", "Se", "Sc", "Mn", "Br"],
  "fractional_positions": [[0.000, 0.500, 0.000], [0.000, 0.000, 0.500], [0.000, 0.000, 0.000], [0.500, 0.500, 0.500], [0.500, 0.000, 0.000]]
}

***

8.
{
  "formula": "PaTi2SnO8",
  "functional": "PBE-GGA",
  "state": "optimized geometry",
  "total_magnetization_mub_per_fu": 0.0,
  "raw_formation_energy_mev_per_atom": -2567,
  "e_tot_ev_per_atom": -8.3128,
  "sg": "P-3m1 (164)",
  "cell": [[-5.049, 2.453, 2.065], [-0.237, -4.908, -3.411], [0.364, -3.651, 5.228]],
  "species": ["O", "Ti", "Pa", "O", "O", "O", "Sn", "O", "O", "Ti", "O", "O"],
  "fractional_positions": [[0.156, 0.312, 0.768], [0.667, 0.333, 0.318], [0.000, 0.000, 0.000], [0.312, 0.156, 0.232], [0.333, 0.667, 0.421], [0.844, 0.688, 0.232], [0.000, 0.000, 0.500], [0.688, 0.844, 0.768], [0.844, 0.156, 0.232], [0.333, 0.667, 0.682], [0.156, 0.844, 0.768], [0.667, 0.333, 0.579]]
}

***

9.
{
  "formula": "YTc2Sb",
  "functional": "PBE-GGA",
  "state": "optimized geometry",
  "total_magnetization_mub_per_fu": 1.3,
  "raw_formation_energy_mev_per_atom": 119,
  "e_tot_ev_per_atom": -7.7104,
  "sg": "I-4m2 (119)",
  "cell": [[5.413, 0.009, 0.000], [2.359, 4.873, 0.000], [-3.886, -2.441, 2.872]],
  "species": ["Sb", "Tc", "Y", "Tc"],
  "fractional_positions": [[0.750, 0.250, 0.500], [0.000, 0.000, 0.000], [0.500, 0.500, 0.000], [0.250, 0.750, 0.500]]
}

***

10.
{
  "formula": "NdSm2Co",
  "functional": "PBE-GGA",
  "state": "optimized geometry",
  "total_magnetization_mub_per_fu": 0.0,
  "de_polymorph_kj_per_mol_fu": 8,
  "delta_e_f_kj_per_mol_atoms": -6.2,
  "e_tot_ev_per_atom": -5.3921,
  "sg": "Cmcm (63)",
  "cell": [[3.731, -0.145, 0.000], [-1.633, 6.146, 0.000], [0.000, 0.000, 9.800]],
  "species": ["Co", "Sm", "Sm", "Nd", "Sm", "Nd", "Sm", "Co"],
  "fractional_positions": [[0.738, 0.476, 0.250], [0.860, 0.720, 0.927], [0.860, 0.720, 0.573], [0.588, 0.176, 0.750], [0.140, 0.280, 0.073], [0.412, 0.824, 0.250], [0.140, 0.280, 0.427], [0.262, 0.524, 0.750]]
}